[1]
A plane-wave DFT calculation with PBE was carried out for crystalline AcSbHRh2 at its relaxed geometry.

As for the size of the total moment: 0.00 μB/cell. As for the space group: No. 63. The density of states at the Fermi level is 5.58 states/eV/cell. The calculation puts the energy at -59.37 eV for the cell shown.

a = 4.2572 Å, b = 6.2123 Å, c = 7.4184 Å
α = 90.00°, β = 90.00°, γ = 110.04°
Last column: nearest neighbours and their distance in Å.
Atoms (fractional coordinates):
Ac  0.4328  0.8656  0.7500  4 H 2.93, 4 Rh 3.24, 1 Sb 3.27
Ac  0.5672  0.1344  0.2500  4 H 2.93, 4 Rh 3.24, 1 Sb 3.27
Sb  0.7133  0.4267  0.7500  6 Rh 2.69
Sb  0.2867  0.5733  0.2500  6 Rh 2.69
H  0.0000  0.0000  0.0000  2 Rh 1.85
H  0.0000  0.0000  0.5000  2 Rh 1.85
Rh  0.1553  0.3107  0.9517  1 H 1.85
Rh  0.8447  0.6893  0.0483  1 H 1.85
Rh  0.1553  0.3107  0.5483  1 H 1.85
Rh  0.8447  0.6893  0.4517  1 H 1.85

[2]
A plane-wave DFT calculation with PBE was carried out for crystalline AcScH6Rh2 at its relaxed geometry.

As for the size of the total moment: 0.00 μB/cell. As for the space group: No. 166. The calculation puts the energy at -51.09 eV for the cell shown.

a = 4.6727 Å, b = 4.6727 Å, c = 6.3401 Å
α = 68.38°, β = 68.38°, γ = 60.00°
Last column: nearest neighbours and their distance in Å.
Atoms (fractional coordinates):
Ac  0.0000  0.0000  0.0000  12 H 2.62
Sc  0.5000  0.5000  0.5000  6 H 2.13
H  0.0803  0.5633  0.7930  1 Rh 1.68
H  0.5634  0.0803  0.7930  1 Rh 1.68
H  0.4367  0.4366  0.2070  1 Rh 1.68
H  0.9197  0.4367  0.2070  1 Rh 1.68
H  0.4366  0.9197  0.2070  1 Rh 1.68
H  0.5633  0.5634  0.7930  1 Rh 1.68
Rh  0.7903  0.7903  0.6290  3 H 1.68
Rh  0.2097  0.2097  0.3710  3 H 1.68

[3]
A plane-wave DFT calculation with PBE was carried out for crystalline AcSiHRh2 at its relaxed geometry.

As for the size of the total moment: 0.00 μB/cell. As for the space group: No. 63. The density of states at the Fermi level is 7.24 states/eV/cell. The calculation puts the energy at -62.65 eV for the cell shown.

a = 3.9861 Å, b = 6.0347 Å, c = 7.1280 Å
α = 90.00°, β = 90.00°, γ = 109.29°
Last column: nearest neighbours and their distance in Å.
Atoms (fractional coordinates):
Ac  0.4365  0.8731  0.7500  4 H 2.77
Ac  0.5635  0.1269  0.2500  4 H 2.77
Si  0.7151  0.4302  0.7500  6 Rh 2.51-2.56
Si  0.2849  0.5698  0.2500  6 Rh 2.51-2.56
H  0.0000  0.0000  0.0000  2 Rh 1.91
H  0.0000  0.0000  0.5000  2 Rh 1.91
Rh  0.1640  0.3279  0.9472  1 H 1.91
Rh  0.8360  0.6721  0.0528  1 H 1.91
Rh  0.1640  0.3279  0.5528  1 H 1.91
Rh  0.8360  0.6721  0.4472  1 H 1.91

[4]
A plane-wave DFT calculation with PBE was carried out for crystalline Ac2Si2HRh2 at its relaxed geometry.

As for the size of the total moment: 0.00 μB/cell. As for the space group: No. 12. The density of states at the Fermi level is 3.12 states/eV/cell. The calculation puts the energy at -42.48 eV for the cell shown.

a = 4.2139 Å, b = 6.1169 Å, c = 6.3356 Å
α = 72.30°, β = 70.58°, γ = 69.85°
Last column: nearest neighbours and their distance in Å.
Atoms (fractional coordinates):
Ac  0.5529  0.1966  0.6976  2 H 2.85, 1 Si 3.17
Ac  0.4471  0.8034  0.3024  2 H 2.85, 1 Si 3.17
Si  0.1921  0.3652  0.2507  3 Rh 2.37-2.42
Si  0.8079  0.6348  0.7493  3 Rh 2.37-2.42
H  0.0000  0.0000  0.0000  2 Rh 1.97
Rh  0.1988  0.6874  0.9150  1 H 1.97
Rh  0.8012  0.3126  0.0850  1 H 1.97

[5]
A plane-wave DFT calculation with PBE was carried out for crystalline AcSmH6Rh2 at its relaxed geometry.

As for the size of the total moment: 0.00 μB/cell. As for the space group: No. 15. The density of states at the Fermi level is 0.70 states/eV/cell. The calculation puts the energy at -98.43 eV for the cell shown.

a = 6.2851 Å, b = 6.2851 Å, c = 6.7075 Å
α = 103.48°, β = 103.48°, γ = 101.82°
Last column: nearest neighbours and their distance in Å.
Atoms (fractional coordinates):
Ac  0.1497  0.8503  0.2500  10 H 2.56-2.80
Ac  0.8503  0.1497  0.7500  10 H 2.56-2.80
Sm  0.5952  0.4048  0.2500  8 H 2.34-2.44
Sm  0.4048  0.5952  0.7500  8 H 2.34-2.44
H  0.9182  0.4269  0.1192  1 Rh 1.72
H  0.5731  0.0818  0.3808  1 Rh 1.72
H  0.0818  0.5731  0.8808  1 Rh 1.72
H  0.4269  0.9182  0.6192  1 Rh 1.72
H  0.2240  0.1613  0.0188  1 Rh 1.70
H  0.8387  0.7760  0.4812  1 Rh 1.70
H  0.7760  0.8387  0.9812  1 Rh 1.70
H  0.1613  0.2240  0.5188  1 Rh 1.70
H  0.3113  0.5330  0.3781  1 Rh 1.73
H  0.4670  0.6887  0.1219  1 Rh 1.73
H  0.6887  0.4670  0.6219  1 Rh 1.73
H  0.5330  0.3113  0.8781  1 Rh 1.73
Rh  0.3286  0.0571  0.8162  3 H 1.70-1.73
Rh  0.9429  0.6714  0.6838  3 H 1.70-1.73
Rh  0.6714  0.9429  0.1838  3 H 1.70-1.73
Rh  0.0571  0.3286  0.3162  3 H 1.70-1.73

[6]
A plane-wave DFT calculation with PBE was carried out for crystalline AcSmH8Rh2 at its relaxed geometry.

As for the size of the total moment: 0.00 μB/cell. As for the space group: No. 148. The density of states at the Fermi level is 2.55 states/eV/cell. The calculation puts the energy at -54.08 eV for the cell shown.

a = 4.9657 Å, b = 4.9657 Å, c = 6.9498 Å
α = 69.07°, β = 69.07°, γ = 60.00°
Last column: nearest neighbours and their distance in Å.
Atoms (fractional coordinates):
Ac  0.5000  0.5000  0.5000  6 H 2.48
Sm  0.0000  0.0000  0.0000  6 H 2.43
H  0.1849  0.1849  0.4452  1 Rh 1.62
H  0.5297  0.4125  0.1626  1 Rh 1.68
H  0.8151  0.8151  0.5548  1 Rh 1.62
H  0.8952  0.5297  0.1626  1 Rh 1.68
H  0.1048  0.4703  0.8374  1 Rh 1.68
H  0.4125  0.8952  0.1626  1 Rh 1.68
H  0.5875  0.1048  0.8374  1 Rh 1.68
H  0.4703  0.5875  0.8374  1 Rh 1.68
Rh  0.2703  0.2703  0.1892  4 H 1.62-1.68
Rh  0.7297  0.7297  0.8108  4 H 1.62-1.68

[7]
A plane-wave DFT calculation with PBE was carried out for crystalline AcSnHRh2 at its relaxed geometry.

As for the size of the total moment: 0.00 μB/cell. As for the space group: No. 63. The density of states at the Fermi level is 6.77 states/eV/cell. The calculation puts the energy at -58.32 eV for the cell shown.

a = 4.1884 Å, b = 6.2805 Å, c = 7.4595 Å
α = 90.00°, β = 90.00°, γ = 109.48°
Last column: nearest neighbours and their distance in Å.
Atoms (fractional coordinates):
Ac  0.4367  0.8733  0.7500  4 H 2.90, 4 Rh 3.22
Ac  0.5633  0.1267  0.2500  4 H 2.90, 4 Rh 3.22
Sn  0.7164  0.4329  0.7500  6 Rh 2.70-2.74
Sn  0.2836  0.5671  0.2500  6 Rh 2.70-2.74
H  0.0000  0.0000  0.0000  2 Rh 1.81
H  0.0000  0.0000  0.5000  2 Rh 1.81
Rh  0.1496  0.2992  0.9513  1 H 1.81
Rh  0.8504  0.7008  0.0487  1 H 1.81
Rh  0.1496  0.2992  0.5487  1 H 1.81
Rh  0.8504  0.7008  0.4513  1 H 1.81

[8]
A plane-wave DFT calculation with PBE was carried out for crystalline AcSnH2Rh2 at its relaxed geometry.

As for the size of the total moment: 0.00 μB/cell. As for the space group: No. 11. The density of states at the Fermi level is 3.28 states/eV/cell. The calculation puts the energy at -64.87 eV for the cell shown.

a = 5.8454 Å, b = 4.8532 Å, c = 7.3545 Å
α = 99.08°, β = 90.00°, γ = 90.00°
Last column: nearest neighbours and their distance in Å.
Atoms (fractional coordinates):
Ac  0.7500  0.2547  0.6339  3 H 2.45-2.47
Ac  0.2500  0.7453  0.3661  3 H 2.45-2.47
Sn  0.2500  0.2903  0.9016  1 H 2.50, 4 Rh 2.70-2.80
Sn  0.7500  0.7097  0.0984  1 H 2.50, 4 Rh 2.70-2.80
H  0.2500  0.2307  0.3129  2 Rh 1.80
H  0.2500  0.6375  0.6835  2 Rh 1.74
H  0.7500  0.7693  0.6871  2 Rh 1.80
H  0.7500  0.3625  0.3165  2 Rh 1.74
Rh  0.5163  0.2156  0.1900  2 H 1.74-1.80
Rh  0.9837  0.2156  0.1900  2 H 1.74-1.80
Rh  0.0163  0.7844  0.8100  2 H 1.74-1.80
Rh  0.4837  0.7844  0.8100  2 H 1.74-1.80